# 1
A plane-wave DFT calculation with PBE was carried out for a relaxed LaB2H6 crystal.

Cell lengths 6.6490, 6.6490, 6.6490 Å; angles 90.00, 90.00, 90.00 degrees
Closest atoms and distances in Å follow each position.
Space group Fm-3m (No. 225)
Unique sites:
La (0.0000, 0.0000, 0.0000) (multiplicity 4)  6 H 2.42
B (0.2500, 0.2500, 0.2500) (multiplicity 8)  12 H 2.47
H (0.0000, 0.0000, 0.3638) (multiplicity 24)  4 H 1.28

Properties
calculated volume = 294.0 Å³ per cell
energy = -3.021 eV per atom



# 2
A plane-wave DFT calculation with PBE was carried out for a relaxed TiNi2Mo2 crystal.

Cell lengths 6.4000, 6.4000, 3.4565 Å; angles 90.00, 90.00, 90.00 degrees
Closest atoms and distances in Å follow each position.
Space group P4/mbm (No. 127)
Unique sites:
Ti (0.0000, 0.0000, 0.0000) (multiplicity 2)  4 Ni 2.52
Ni (0.1281, 0.3719, 0.0000) (multiplicity 4)  1 Ni 2.32, 6 Mo 2.52-2.59, 2 Ti 2.52
Mo (0.1700, 0.6700, 0.5000) (multiplicity 4)  6 Ni 2.52-2.59

Properties
calculated volume = 141.6 Å³ per cell
formation enthalpy at 0 K = 0.041 eV per atom
energy above the lowest structure with this stoichiometry = 0.00 eV/f.u.



# 3
A plane-wave DFT calculation with PBE was carried out for a relaxed Li3Dy12In5 crystal.

Cell lengths 17.8564, 17.8564, 17.8564 Å; angles 90.00, 90.00, 90.00 degrees
Closest atoms and distances in Å follow each position.
Space group Ia-3d (No. 230)
Unique sites:
Li (0.0000, 0.2500, 0.1250) (multiplicity 24)  8 Dy 3.11-3.43
Dy (0.0172, 0.0780, 0.6466) (multiplicity 96)  2 In 2.98-3.01, 1 Li 3.11
In (0.0000, 0.0000, 0.0000) (multiplicity 16)  6 Dy 2.98
In (0.0000, 0.2500, 0.3750) (multiplicity 24)  4 Dy 3.01

Properties
calculated volume = 5693.6 Å³ per cell
formation enthalpy at 0 K = 0.468 eV per atom